Density functional theory data (PBE) for crystalline V4MoIr2 at its relaxed geometry.

Computed properties:
D(E_F) in states/eV/f.u.: 10.85
Electronic total energy in eV per cell: -117.7

Lattice parameters (Å, degrees): 4.465 4.465 12.558 90.00 90.00 90.00
Space group I4/mmm (No. 139)
Inequivalent atoms, fractional coordinates:
V (0.000, 0.000, 0.197) x4
V (0.000, 0.500, 0.000) x4
Mo (0.000, 0.000, 0.000) x2
Ir (0.000, 0.000, 0.386) x4